# 1
This record from Alexandria describes a geometry-optimized Mg2BiI structure. The functional is PBE.

Output
As for the density of states at the Fermi level: 0.3 states/eV/f.u. As for the energy relative to the elements, uncorrected: -0.343 eV per atom. The symmetry is R3m (160). The total energy comes out at -2.498 eV/atom. The crystal system is trigonal.

a = 4.507 Å, b = 4.507 Å, c = 8.357 Å
α = 74.36°, β = 74.36°, γ = 60.00°
Element x y z (fractional)
Mg  0.070  0.070  0.790
Mg  0.287  0.287  0.139
Bi  0.667  0.667  0.999
I  0.476  0.476  0.572

=====

# 2
This record from Alexandria describes a geometry-optimized MgBiI2 structure. The functional is PBE.

Output
As for the density of states at the Fermi level: 2.8 states/eV/f.u. As for the energy relative to the elements, uncorrected: 0.076 eV per atom. The symmetry is Fm-3m (225). The total energy comes out at -2.068 eV/atom. The crystal system is cubic.

a = 5.615 Å, b = 5.615 Å, c = 5.615 Å
α = 60.00°, β = 60.00°, γ = 60.00°
Element x y z (fractional)
I  0.250  0.250  0.250
I  0.750  0.750  0.750
Mg  0.000  0.000  0.000
Bi  0.500  0.500  0.500

=====

# 3
This record from Alexandria describes a geometry-optimized Mg3BiI structure. The functional is PBE.

Output
As for the density of states at the Fermi level: 2.2 states/eV/f.u. As for the energy relative to the elements, uncorrected: 0.433 eV per atom. The symmetry is Pm-3m (221). The total energy comes out at -1.610 eV/atom. The crystal system is cubic.

a = 5.575 Å, b = 5.575 Å, c = 5.575 Å
α = 90.00°, β = 90.00°, γ = 90.00°
Element x y z (fractional)
I  0.000  0.000  0.000
Mg  0.000  0.500  0.000
Mg  0.000  0.000  0.500
Mg  0.500  0.000  0.000
Bi  0.500  0.500  0.500

=====

# 4
This record from Alexandria describes a geometry-optimized MgBiI2 structure. The functional is PBE.

Output
As for the density of states at the Fermi level: 4.1 states/eV/f.u. As for the energy relative to the elements, uncorrected: -0.108 eV per atom. The symmetry is I-42d (122). The total energy comes out at -2.252 eV/atom. The crystal system is tetragonal.

a = 8.677 Å, b = 8.677 Å, c = 7.146 Å
α = 52.62°, β = 52.62°, γ = 90.00°
Element x y z (fractional)
I  0.572  0.125  0.250
I  0.178  0.625  0.250
I  0.375  0.428  0.750
I  0.875  0.822  0.750
Mg  0.500  0.500  0.000
Mg  0.250  0.750  0.500
Bi  0.000  0.000  0.000
Bi  0.750  0.250  0.500

=====

# 5
This record from Alexandria describes a geometry-optimized MgBiI structure. The functional is PBE.

Output
As for the density of states at the Fermi level: 0.7 states/eV/f.u. As for the energy relative to the elements, uncorrected: -0.254 eV per atom. The symmetry is Pmc2_1 (26). The total energy comes out at -2.596 eV/atom. The crystal system is orthorhombic.

a = 4.042 Å, b = 6.827 Å, c = 15.565 Å
α = 90.00°, β = 90.00°, γ = 90.00°
Element x y z (fractional)
Bi  0.001  0.721  0.683
Bi  0.001  0.279  0.683
Bi  0.999  0.279  0.183
Bi  0.999  0.721  0.183
Mg  0.501  0.500  0.559
Mg  0.499  0.500  0.059
Mg  0.499  0.000  0.558
Mg  0.501  0.000  0.058
I  0.502  0.500  0.889
I  0.498  0.500  0.389
I  0.999  0.000  0.436
I  0.001  0.000  0.936

=====

# 6
This record from Alexandria describes a geometry-optimized Mg3BiI structure. The functional is PBE.

Output
As for the density of states at the Fermi level: 2.0 states/eV/f.u. As for the energy relative to the elements, uncorrected: 0.068 eV per atom. The symmetry is Pm-3m (221). The total energy comes out at -1.974 eV/atom. The crystal system is cubic.

a = 5.839 Å, b = 5.839 Å, c = 5.839 Å
α = 90.00°, β = 90.00°, γ = 90.00°
Element x y z (fractional)
I  0.500  0.500  0.500
Mg  0.000  0.500  0.000
Mg  0.000  0.000  0.500
Mg  0.500  0.000  0.000
Bi  0.000  0.000  0.000

=====

Number 1: total magnetization 0.0 μB per formula unit. Number 2: total magnetization 0.0 μB per formula unit. Number 3: total magnetization 0.0 μB per formula unit. Number 4: total magnetization 0.0 μB per formula unit. Number 5: total magnetization 0.0 μB per formula unit. Number 6: total magnetization 0.0 μB per formula unit.